AcTlTe after structural relaxation, computed with PBE.

calculated volume	36.76	Å³/atom
DOS(E_F)	2.1	states/eV/cell
offset from the most stable computed form	83.6	meV per atom
E_form (uncorrected)	-0.69	eV per atom
spin magnetization	0.000	μB per atom

Structure (POSCAR):
```
AcTlTe
1.0
-0.492 -4.040 1.570
4.189 -0.848 -0.871
-0.371 4.317 4.933
Ac Te Tl
1 1 1
direct
0.634 0.634 0.268
0.251 0.251 0.502
0.965 0.965 0.931
```


Zr5Os after structural relaxation, computed with PBE.

calculated volume	22.64	Å³/atom
DOS(E_F)	7.9	states/eV/cell
offset from the most stable computed form	1003.8	meV per atom
spin magnetization	0.000	μB per atom

Structure (POSCAR):
```
Zr5Os
1.0
2.713 -4.699 0.000
2.713 4.699 0.000
0.000 0.000 5.329
Zr Os
5 1
direct
0.000 0.500 0.500
0.333 0.667 0.000
0.500 0.000 0.500
0.500 0.500 0.500
0.667 0.333 0.000
0.000 0.000 0.000
```


Ac3La2Tl4 after structural relaxation, computed with PBE.

calculated volume	34.67	Å³/atom
DOS(E_F)	11.9	states/eV/cell
offset from the most stable computed form	0.0	meV per atom
spin magnetization	0.000	μB per atom

Structure (POSCAR):
```
Ac3La2Tl4
1.0
5.723 0.001 0.000
2.861 4.957 0.186
-0.003 -0.402 10.985
Ac La Tl
3 2 4
direct
0.333 0.333 0.419
0.000 0.000 0.000
0.667 0.667 0.581
0.333 0.334 0.786
0.667 0.666 0.214
0.667 0.667 0.898
0.000 0.000 0.342
0.000 0.000 0.658
0.333 0.333 0.102
```


NaTiO3 after structural relaxation, computed with PBE.

calculated volume	13.10	Å³/atom
DOS(E_F)	0.0	states/eV/cell
E_form (uncorrected)	-2.21	eV per atom
spin magnetization	0.000	μB per atom

Structure (POSCAR):
```
NaTiO3
1.0
18.322 0.000 0.455
6.711 1.589 -2.083
-6.711 1.589 2.083
Na O Ti
2 6 2
direct
0.806 0.055 0.945
0.194 0.945 0.055
0.874 0.158 0.842
0.126 0.842 0.158
0.065 0.259 0.741
0.935 0.741 0.259
0.508 0.669 0.331
0.492 0.331 0.669
0.711 0.941 0.059
0.289 0.059 0.941
```